[1]
# Dy2Ge6Pd, optimized geometry, DFT GGA-PBEsol
# M_tot: 0.00 Bohr magnetons per cell
# ΔH_f (0 K): -643 meV per atom
# space group: Cmce, No. 64
data_Dy2Ge6Pd
_chemical_formula_sum 'Dy8 Ge24 Pd4'
_cell_length_a 5.691
_cell_length_b 5.691
_cell_length_c 21.332
_cell_angle_alpha 90.00
_cell_angle_beta 90.00
_cell_angle_gamma 90.46
_symmetry_space_group_name_H-M 'P 1'
_symmetry_Int_Tables_number 1
loop_
_symmetry_equiv_pos_as_xyz
'x,y,z'
loop_
_atom_site_label
_atom_site_type_symbol
_atom_site_fract_x
_atom_site_fract_y
_atom_site_fract_z
Ge1 Ge 0.596 0.596 0.193
Dy1 Dy 0.376 0.873 0.419
Ge2 Ge 0.618 0.618 0.956
Ge3 Ge 0.903 0.349 0.692
Ge4 Ge 0.096 0.096 0.307
Pd1 Pd 0.373 0.373 0.359
Ge5 Ge 0.633 0.633 0.528
Dy2 Dy 0.624 0.127 0.581
Ge6 Ge 0.382 0.382 0.044
Ge7 Ge 0.651 0.097 0.308
Ge8 Ge 0.118 0.118 0.544
Pd2 Pd 0.627 0.627 0.641
Ge9 Ge 0.904 0.904 0.693
Ge10 Ge 0.348 0.348 0.692
Ge11 Ge 0.848 0.848 0.808
Ge12 Ge 0.152 0.152 0.192
Ge13 Ge 0.652 0.652 0.308
Ge14 Ge 0.849 0.403 0.808
Ge15 Ge 0.403 0.849 0.808
Pd3 Pd 0.127 0.127 0.859
Dy3 Dy 0.124 0.627 0.919
Dy4 Dy 0.876 0.373 0.081
Dy5 Dy 0.627 0.124 0.919
Ge16 Ge 0.133 0.133 0.972
Ge17 Ge 0.097 0.651 0.308
Dy6 Dy 0.127 0.624 0.581
Ge18 Ge 0.597 0.151 0.192
Dy7 Dy 0.373 0.876 0.081
Ge19 Ge 0.349 0.903 0.692
Pd4 Pd 0.873 0.873 0.141
Ge20 Ge 0.404 0.404 0.807
Ge21 Ge 0.882 0.882 0.456
Ge22 Ge 0.151 0.597 0.192
Dy8 Dy 0.873 0.376 0.419
Ge23 Ge 0.367 0.367 0.472
Ge24 Ge 0.867 0.867 0.028

[2]
# MgAsRu2, optimized geometry, DFT GGA-PBEsol
# M_tot: 0.00 Bohr magnetons per cell
# ΔH_f (0 K): 6 meV per atom
# space group: P4mm, No. 99
data_MgAsRu2
_chemical_formula_sum 'Mg1 As1 Ru2'
_cell_length_a 2.879
_cell_length_b 2.879
_cell_length_c 7.567
_cell_angle_alpha 90.00
_cell_angle_beta 90.00
_cell_angle_gamma 90.00
_symmetry_space_group_name_H-M 'P 1'
_symmetry_Int_Tables_number 1
loop_
_symmetry_equiv_pos_as_xyz
'x,y,z'
loop_
_atom_site_label
_atom_site_type_symbol
_atom_site_fract_x
_atom_site_fract_y
_atom_site_fract_z
As1 As 0.000 0.000 0.452
Ru1 Ru 0.500 0.500 0.245
Mg1 Mg 0.500 0.500 0.780
Ru2 Ru 0.000 0.000 0.023

[3]
# TcTe2N, optimized geometry, DFT GGA-PBEsol
# M_tot: 0.00 Bohr magnetons per cell
# energy above the lowest structure with this stoichiometry: 0.00 kcal/mol of atoms
# formation energy without anion corrections: 0.76 eV/atom
# space group: R-3m, No. 166
data_TcTe2N
_chemical_formula_sum 'Tc1 Te2 N1'
_cell_length_a 3.942
_cell_length_b 3.942
_cell_length_c 6.925
_cell_angle_alpha 73.46
_cell_angle_beta 73.46
_cell_angle_gamma 60.00
_symmetry_space_group_name_H-M 'P 1'
_symmetry_Int_Tables_number 1
loop_
_symmetry_equiv_pos_as_xyz
'x,y,z'
loop_
_atom_site_label
_atom_site_type_symbol
_atom_site_fract_x
_atom_site_fract_y
_atom_site_fract_z
Tc1 Tc 0.500 0.500 0.500
Te1 Te 0.098 0.098 0.706
N1 N 0.000 0.000 0.000
Te2 Te 0.902 0.902 0.294

[4]
# ZnPb2Se, optimized geometry, DFT GGA-PBEsol
# M_tot: 0.00 Bohr magnetons per cell
# energy above the lowest structure with this stoichiometry: 2.75 kcal/mol of atoms
# formation energy without anion corrections: -0.03 eV/atom
# space group: P4mm, No. 99
data_ZnPb2Se
_chemical_formula_sum 'Zn1 Pb2 Se1'
_cell_length_a 3.531
_cell_length_b 3.531
_cell_length_c 7.688
_cell_angle_alpha 90.00
_cell_angle_beta 90.00
_cell_angle_gamma 90.00
_symmetry_space_group_name_H-M 'P 1'
_symmetry_Int_Tables_number 1
loop_
_symmetry_equiv_pos_as_xyz
'x,y,z'
loop_
_atom_site_label
_atom_site_type_symbol
_atom_site_fract_x
_atom_site_fract_y
_atom_site_fract_z
Se1 Se 0.000 0.000 0.560
Zn1 Zn 0.500 0.500 0.696
Pb1 Pb 0.000 0.000 0.961
Pb2 Pb 0.500 0.500 0.283

Q: M_tot of number 4 (ZnPb2Se)?
A: 0.00 Bohr magnetons per cell